Record 1
# TeRu2Br

A relaxed structure of TeRu2Br (PBE, Alexandria via LeMat-Bulk).

extended XYZ file:
```
4
Lattice="-4.200 1.412 3.365 -5.138 -1.986 -0.785 5.244 -1.835 0.317" Properties=species:S:1:pos:R:3 pbc="T T T"
Ru 0.000 0.000 0.000
Ru -2.282 -2.054 0.411
Te -4.669 -0.287 1.290
Br -1.813 -0.355 2.486
```

- total magnetic moment (Bohr magnetons per cell) = 0.00
- E (eV/atom) = -4.94
- formation energy from raw total energies (eV/atom) = 0.8969
- DOS(E_F) (states/eV/f.u.) = 6.43
- symmetry = I-4m2, No. 119

Record 2
# Nd3CuPt

A relaxed structure of Nd3CuPt (PBE, Alexandria via LeMat-Bulk).

extended XYZ file:
```
10
Lattice="-3.851 -0.043 -1.174 0.564 -6.445 5.275 -2.100 4.352 6.712" Properties=species:S:1:pos:R:3 pbc="T T T"
Nd -1.015 0.491 3.531
Nd -2.506 -2.843 8.526
Nd -3.849 1.548 5.878
Nd -3.239 -6.138 4.162
Nd -0.721 -3.269 2.704
Nd -3.533 -2.379 4.986
Cu -1.994 -0.457 6.773
Cu -4.360 -0.841 7.627
Pt -1.765 -4.505 6.167
Pt -2.489 -1.142 1.526
```

- total magnetic moment (Bohr magnetons per cell) = 0.00
- E (eV/atom) = -5.38
- DOS(E_F) (states/eV/f.u.) = 4.95
- symmetry = P-1, No. 2

Record 3
# SrBeCoP2

A relaxed structure of SrBeCoP2 (PBE, Alexandria via LeMat-Bulk).

extended XYZ file:
```
5
Lattice="-0.245 -2.618 -2.693 1.141 -2.623 2.446 -5.968 1.607 1.610" Properties=species:S:1:pos:R:3 pbc="T T T"
Sr 0.000 0.000 0.000
Be -2.190 -1.818 1.967
Co -2.883 -1.816 -0.603
P -1.192 -2.921 0.319
P -3.880 -0.712 1.045
```

- total magnetic moment (Bohr magnetons per cell) = 0.00
- E (eV/atom) = -5.35
- DOS(E_F) (states/eV/f.u.) = 3.23
- symmetry = I-4m2, No. 119